No. 1
Computed, not measured: a geometry-optimized NbBPbF2 structure at the PBE-GGA level of DFT.

Computed properties:
- Fermi-level density of states: 0.781 states/eV/atom
- ΔE_f (raw): -0.01 eV/atom
- E_tot: -4.853 eV per atom
- M_tot: 0.1 μB per formula unit

abc: 4.074 4.074 4.790
angles: 90.00 90.00 90.00
Space group P4/mmm (No. 123)
Asymmetric unit:
Nb1 0.000 0.000 0.000 x1
B1 0.000 0.000 0.500 x1
Pb1 0.500 0.500 0.000 x1
F1 0.000 0.500 0.500 x2

=====

No. 2
Computed, not measured: a geometry-optimized Pm2Te2Se structure at the PBE-GGA level of DFT.

Computed properties:
- ΔE_f (raw): -1.48 eV/atom
- E_tot: -5.338 eV per atom
- M_tot: 0.0 μB per formula unit
- Offset from the most stable computed form: 54 meV per atom

abc: 6.307 4.609 12.219
angles: 90.00 101.49 90.00
Space group P2_1/m (No. 11)
Asymmetric unit:
Pm1 0.093 0.250 0.148 x2
Pm2 0.283 0.250 0.592 x2
Te1 0.209 0.750 0.394 x2
Te2 0.353 0.750 0.759 x2
Se1 0.235 0.750 0.051 x2

=====

No. 3
Computed, not measured: a geometry-optimized Tm2Te2Se structure at the PBE-GGA level of DFT.

Computed properties:
- ΔE_f (raw): -1.41 eV/atom
- E_tot: -5.156 eV per atom
- M_tot: 0.0 μB per formula unit

abc: 8.465 6.148 12.381
angles: 90.00 90.00 90.00
Space group Pnma (No. 62)
Asymmetric unit:
Tm1 0.082 0.250 0.240 x4
Tm2 0.154 0.250 0.578 x4
Te1 0.068 0.750 0.224 x4
Te2 0.150 0.750 0.568 x4
Se1 0.182 0.750 0.893 x4

=====

No. 4
Computed, not measured: a geometry-optimized Tb4CeDy7 structure at the PBE-GGA level of DFT.

Computed properties:
- Fermi-level density of states: 1.927 states/eV/atom
- Formation energy: 0.2779 eV per atom
- E_tot: -4.445 eV per atom
- M_tot: 0.9 μB per formula unit
- Offset from the most stable computed form: 129 meV per atom

abc: 11.956 5.825 12.689
angles: 90.00 117.47 90.00
Space group C2/m (No. 12)
Asymmetric unit:
Tb1 0.132 0.000 0.275 x4
Tb2 0.250 0.000 0.815 x4
Ce1 0.000 0.500 0.500 x2
Dy1 0.000 0.000 0.500 x2
Dy2 0.060 0.500 0.827 x4
Dy3 0.134 0.000 0.002 x4
Dy4 0.206 0.500 0.424 x4

=====

> M_tot of number 2 (Pm2Te2Se)?

0.0 μB per formula unit